Record 1
# PBE Pr12ErPb3, relaxed
data_Pr12ErPb3
_cell_length_a 5.048
_cell_length_b 5.048
_cell_length_c 20.536
_cell_angle_alpha 90.00
_cell_angle_beta 90.00
_cell_angle_gamma 90.00
_symmetry_space_group_name_H-M 'P 4/m m m'
_symmetry_Int_Tables_number 123
_symmetry_space_group_name_Hall '-P 4 2'
loop_
_atom_site_label
_atom_site_fract_x
_atom_site_fract_y
_atom_site_fract_z
_atom_site_occupancy
Pr1 0.000 0.000 0.000 1
Pr2 0.000 0.000 0.245 1
Pr3 0.000 0.000 0.500 1
Pr4 0.000 0.500 0.122 1
Pr5 0.000 0.500 0.370 1
Er1 0.500 0.500 0.500 1
Pb1 0.500 0.500 0.000 1
Pb2 0.500 0.500 0.245 1
# - energy of formation (meV per atom) = -244

Record 2
# PBE Pr4ErPb2, relaxed
data_Pr4ErPb2
_cell_length_a 5.5956
_cell_length_b 5.5956
_cell_length_c 28.1697
_cell_angle_alpha 90.00
_cell_angle_beta 90.00
_cell_angle_gamma 120.00
_symmetry_space_group_name_H-M 'R -3 m'
_symmetry_Int_Tables_number 166
_symmetry_space_group_name_Hall '-R 3 2"'
loop_
_atom_site_label
_atom_site_fract_x
_atom_site_fract_y
_atom_site_fract_z
_atom_site_occupancy
Pr1 0.0000 0.0000 0.1273 1
Pr2 0.0000 0.0000 0.2769 1
Er1 0.0000 0.0000 0.5000 1
Pb1 0.0000 0.0000 0.3918 1
# - energy of formation (meV per atom) = -161

Record 3
# PBE PrEr5Pb3, relaxed
data_PrEr5Pb3
_cell_length_a 9.4622
_cell_length_b 9.4622
_cell_length_c 6.5884
_cell_angle_alpha 90.00
_cell_angle_beta 90.00
_cell_angle_gamma 120.00
_symmetry_space_group_name_H-M 'P 63/m c m'
_symmetry_Int_Tables_number 193
_symmetry_space_group_name_Hall '-P 6c 2'
loop_
_atom_site_label
_atom_site_fract_x
_atom_site_fract_y
_atom_site_fract_z
_atom_site_occupancy
Pr1 0.0000 0.0000 0.0000 1
Er1 0.0000 0.3316 0.2500 1
Er2 0.3333 0.6667 0.0000 1
Pb1 0.0000 0.3385 0.7500 1
# - energy of formation (meV per atom) = -367

Record 4
# PBE Pr2ErPb, relaxed
data_Pr2ErPb
_cell_length_a 3.6743
_cell_length_b 3.6743
_cell_length_c 33.9847
_cell_angle_alpha 90.00
_cell_angle_beta 90.00
_cell_angle_gamma 120.00
_symmetry_space_group_name_H-M 'R 3 m'
_symmetry_Int_Tables_number 160
_symmetry_space_group_name_Hall 'R 3 -2"'
loop_
_atom_site_label
_atom_site_fract_x
_atom_site_fract_y
_atom_site_fract_z
_atom_site_occupancy
Pr1 0.0000 0.0000 0.0000 1
Pr2 0.0000 0.0000 0.1699 1
Er1 0.0000 0.0000 0.4184 1
Pb1 0.0000 0.0000 0.5846 1
# - energy of formation (meV per atom) = -142
# - polymorph energy (0 for the lowest one) (meV/atom) = 167

Record 5
# PBE Pr5ErPb6, relaxed
data_Pr5ErPb6
_cell_length_a 16.217
_cell_length_b 9.251
_cell_length_c 5.083
_cell_angle_alpha 90.00
_cell_angle_beta 107.89
_cell_angle_gamma 90.00
_symmetry_space_group_name_H-M 'C 1 2/m 1'
_symmetry_Int_Tables_number 12
loop_
_symmetry_equiv_pos_as_xyz
'x,y,z'
'-x,-y,-z'
'-x,y,-z'
'x,-y,z'
'x+1/2,y+1/2,z'
'-x+1/2,-y+1/2,-z'
'-x+1/2,y+1/2,-z'
'x+1/2,-y+1/2,z'
loop_
_atom_site_label
_atom_site_fract_x
_atom_site_fract_y
_atom_site_fract_z
_atom_site_occupancy
Pr1 0.000 0.000 0.000 1
Pr2 0.164 0.500 0.664 1
Pr3 0.167 0.000 0.667 1
Er1 0.000 0.500 0.000 1
Pb1 0.000 0.254 0.500 1
Pb2 0.165 0.252 0.165 1
# - energy of formation (meV per atom) = -499
# - polymorph energy (0 for the lowest one) (meV/atom) = 0

Record 6
# PBE Pr4ErPb, relaxed
data_Pr4ErPb
_cell_length_a 9.615
_cell_length_b 9.615
_cell_length_c 10.765
_cell_angle_alpha 90.00
_cell_angle_beta 90.00
_cell_angle_gamma 90.00
_symmetry_space_group_name_H-M 'I 41 m d'
_symmetry_Int_Tables_number 109
_symmetry_space_group_name_Hall 'I 4bw -2'
loop_
_atom_site_label
_atom_site_fract_x
_atom_site_fract_y
_atom_site_fract_z
_atom_site_occupancy
Pr1 0.000 0.310 0.000 1
Pr2 0.000 0.321 0.498 1
Er1 0.000 0.000 0.985 1
Pb1 0.000 0.000 0.499 1
# - energy of formation (meV per atom) = 421

Record 7
# PBE Pr2ErPb, relaxed
data_Pr2ErPb
_cell_length_a 4.942
_cell_length_b 4.942
_cell_length_c 5.027
_cell_angle_alpha 90.00
_cell_angle_beta 90.00
_cell_angle_gamma 90.00
_symmetry_space_group_name_H-M 'P 4/m m m'
_symmetry_Int_Tables_number 123
_symmetry_space_group_name_Hall '-P 4 2'
loop_
_atom_site_label
_atom_site_fract_x
_atom_site_fract_y
_atom_site_fract_z
_atom_site_occupancy
Pr1 0.000 0.500 0.000 1
Er1 0.000 0.000 0.500 1
Pb1 0.500 0.500 0.500 1
# - energy of formation (meV per atom) = -309
# - polymorph energy (0 for the lowest one) (meV/atom) = 0

Record 8
# PBE Pr2ErPb3, relaxed
data_Pr2ErPb3
_cell_length_a 8.724
_cell_length_b 16.048
_cell_length_c 6.297
_cell_angle_alpha 90.00
_cell_angle_beta 121.33
_cell_angle_gamma 90.00
_symmetry_space_group_name_H-M 'C 1 2/c 1'
_symmetry_Int_Tables_number 15
loop_
_symmetry_equiv_pos_as_xyz
'x,y,z'
'-x,-y,-z'
'-x,y,-z+1/2'
'x,-y,z+1/2'
'x+1/2,y+1/2,z'
'-x+1/2,-y+1/2,-z'
'-x+1/2,y+1/2,-z+1/2'
'x+1/2,-y+1/2,z+1/2'
loop_
_atom_site_label
_atom_site_fract_x
_atom_site_fract_y
_atom_site_fract_z
_atom_site_occupancy
Pr1 0.000 0.080 0.250 1
Pr2 0.000 0.241 0.750 1
Er1 0.000 0.410 0.250 1
Pb1 0.226 0.421 0.977 1
Pb2 0.250 0.250 0.500 1
# - energy of formation (meV per atom) = -458
# - polymorph energy (0 for the lowest one) (meV/atom) = 23

Record 9
# PBE Pr2ErPb, relaxed
data_Pr2ErPb
_cell_length_a 7.954
_cell_length_b 7.954
_cell_length_c 7.954
_cell_angle_alpha 90.00
_cell_angle_beta 90.00
_cell_angle_gamma 90.00
_symmetry_space_group_name_H-M 'F m -3 m'
_symmetry_Int_Tables_number 225
_symmetry_space_group_name_Hall '-F 4 2 3'
loop_
_atom_site_label
_atom_site_fract_x
_atom_site_fract_y
_atom_site_fract_z
_atom_site_occupancy
Pr1 0.250 0.250 0.250 1
Er1 0.000 0.000 0.000 1
Pb1 0.000 0.000 0.500 1
# - energy of formation (meV per atom) = -153
# - polymorph energy (0 for the lowest one) (meV/atom) = 156

Record 10
# PBE PrErPb, relaxed
data_PrErPb
_cell_length_a 4.655
_cell_length_b 4.657
_cell_length_c 8.777
_cell_angle_alpha 90.00
_cell_angle_beta 90.05
_cell_angle_gamma 90.00
_symmetry_space_group_name_H-M 'P 1 21/m 1'
_symmetry_Int_Tables_number 11
loop_
_symmetry_equiv_pos_as_xyz
'x,y,z'
'-x,-y,-z'
'-x,y+1/2,-z'
'x,-y+1/2,z'
loop_
_atom_site_label
_atom_site_fract_x
_atom_site_fract_y
_atom_site_fract_z
_atom_site_occupancy
Pr1 0.249 0.250 0.155 1
Er1 0.250 0.750 0.500 1
Pb1 0.251 0.250 0.773 1
# - energy of formation (meV per atom) = -440
# - polymorph energy (0 for the lowest one) (meV/atom) = 0

Record 11
# PBE Pr2ErPb, relaxed
data_Pr2ErPb
_cell_length_a 3.485
_cell_length_b 27.308
_cell_length_c 5.782
_cell_angle_alpha 90.00
_cell_angle_beta 90.00
_cell_angle_gamma 90.00
_symmetry_space_group_name_H-M 'C m c m'
_symmetry_Int_Tables_number 63
_symmetry_space_group_name_Hall '-C 2c 2'
loop_
_atom_site_label
_atom_site_fract_x
_atom_site_fract_y
_atom_site_fract_z
_atom_site_occupancy
Pr1 0.000 0.093 0.250 1
Pr2 0.000 0.184 0.750 1
Er1 0.000 0.029 0.750 1
Pb1 0.000 0.303 0.750 1
# - energy of formation (meV per atom) = 28
# - polymorph energy (0 for the lowest one) (meV/atom) = 337

Record 12
# PBE PrErPb, relaxed
data_PrErPb
_cell_length_a 3.653
_cell_length_b 3.653
_cell_length_c 14.156
_cell_angle_alpha 90.00
_cell_angle_beta 90.00
_cell_angle_gamma 90.00
_symmetry_space_group_name_H-M 'I 4 m m'
_symmetry_Int_Tables_number 107
_symmetry_space_group_name_Hall 'I 4 -2'
loop_
_atom_site_label
_atom_site_fract_x
_atom_site_fract_y
_atom_site_fract_z
_atom_site_occupancy
Pr1 0.000 0.000 0.000 1
Er1 0.000 0.000 0.315 1
Pb1 0.000 0.000 0.664 1
# - energy of formation (meV per atom) = -283
# - polymorph energy (0 for the lowest one) (meV/atom) = 157

Which formula does entry 9 have?
Pr2ErPb

Please write out number 11 again, unchanged.
# PBE Pr2ErPb, relaxed
data_Pr2ErPb
_cell_length_a 3.485
_cell_length_b 27.308
_cell_length_c 5.782
_cell_angle_alpha 90.00
_cell_angle_beta 90.00
_cell_angle_gamma 90.00
_symmetry_space_group_name_H-M 'C m c m'
_symmetry_Int_Tables_number 63
_symmetry_space_group_name_Hall '-C 2c 2'
loop_
_atom_site_label
_atom_site_fract_x
_atom_site_fract_y
_atom_site_fract_z
_atom_site_occupancy
Pr1 0.000 0.093 0.250 1
Pr2 0.000 0.184 0.750 1
Er1 0.000 0.029 0.750 1
Pb1 0.000 0.303 0.750 1
# - energy of formation (meV per atom) = 28
# - polymorph energy (0 for the lowest one) (meV/atom) = 337

Which of these has the highest energy of formation?
Pr4ErPb

Number 6 is which compound?
Pr4ErPb